1) Computed, not measured: a relaxed YIn3S crystal at the PBE-GGA level of DFT.

Output
- density of states at the Fermi level (states/eV/f.u.) = 6.0
- total moment (μB/f.u.) = 0.00
- crystal system = cubic
- SG = Pm-3m, No. 221

abc: 5.2620 5.2620 5.2620
angles: 90.00 90.00 90.00
Atoms (fractional coordinates):
In 0.0000 0.0000 0.5000
In 0.0000 0.5000 0.0000
In 0.5000 0.0000 0.0000
Y 0.5000 0.5000 0.5000
S 0.0000 0.0000 0.0000

---

2) Computed, not measured: a relaxed YIn3S crystal at the PBE-GGA level of DFT.

Output
- density of states at the Fermi level (states/eV/f.u.) = 6.3
- total moment (μB/f.u.) = 0.00
- crystal system = cubic
- SG = Pm-3m, No. 221

abc: 5.9006 5.9006 5.9006
angles: 90.00 90.00 90.00
Atoms (fractional coordinates):
S 0.5000 0.5000 0.5000
In 0.5000 0.0000 0.0000
In 0.0000 0.0000 0.5000
In 0.0000 0.5000 0.0000
Y 0.0000 0.0000 0.0000

---

What is the stability order? It is 1), 2), from most stable to least stable.

---

1) Computed, not measured: a relaxed Y3InS crystal at the PBE-GGA level of DFT.

Output
- density of states at the Fermi level (states/eV/f.u.) = 2.4
- total moment (μB/f.u.) = 0.00
- crystal system = cubic
- SG = Pm-3m, No. 221

abc: 5.1693 5.1693 5.1693
angles: 90.00 90.00 90.00
Atoms (fractional coordinates):
In 0.5000 0.5000 0.5000
S 0.0000 0.0000 0.0000
Y 0.5000 0.0000 0.0000
Y 0.0000 0.0000 0.5000
Y 0.0000 0.5000 0.0000

---

2) Computed, not measured: a relaxed Y3InS crystal at the PBE-GGA level of DFT.

Output
- density of states at the Fermi level (states/eV/f.u.) = 3.5
- total moment (μB/f.u.) = 0.62
- crystal system = orthorhombic
- SG = Pnma, No. 62

abc: 3.9309 9.0289 14.8516
angles: 90.00 90.00 90.00
Each line ends with the local moment (μB).
Atoms (fractional coordinates):
Y 0.7500 0.4696 0.6118  0.12
Y 0.7500 0.3345 0.0095  0.06
Y 0.7500 0.9696 0.8882  0.12
Y 0.2500 0.7913 0.7156  0.10
Y 0.2500 0.6655 0.9905  0.06
Y 0.7500 0.2087 0.2844  0.10
Y 0.2500 0.0304 0.1118  0.12
Y 0.2500 0.5304 0.3882  0.12
Y 0.7500 0.7087 0.2156  0.10
Y 0.7500 0.8345 0.4905  0.06
Y 0.2500 0.1655 0.5095  0.06
Y 0.2500 0.2913 0.7844  0.10
S 0.2500 0.6577 0.5546  0.00
S 0.7500 0.8423 0.0546  0.00
S 0.2500 0.1577 0.9454  0.00
S 0.7500 0.3423 0.4454  0.00
In 0.2500 0.9306 0.3282  0.00
In 0.7500 0.5694 0.8282  0.00
In 0.7500 0.0694 0.6718  0.00
In 0.2500 0.4306 0.1718  0.00

---

What is the stability order? It is 2), 1), from most stable to least stable.

---

1) Computed, not measured: a relaxed ZnIn3S crystal at the PBE-GGA level of DFT.

Output
- density of states at the Fermi level (states/eV/f.u.) = 1.3
- total moment (μB/f.u.) = 0.00
- crystal system = cubic
- SG = Pm-3m, No. 221

abc: 5.1558 5.1558 5.1558
angles: 90.00 90.00 90.00
Atoms (fractional coordinates):
Zn 0.0000 0.0000 0.0000
In 0.5000 0.0000 0.0000
In 0.0000 0.5000 0.0000
In 0.0000 0.0000 0.5000
S 0.5000 0.5000 0.5000

---

2) Computed, not measured: a relaxed ZnIn3S crystal at the PBE-GGA level of DFT.

Output
- density of states at the Fermi level (states/eV/f.u.) = 2.5
- total moment (μB/f.u.) = 0.00
- crystal system = cubic
- SG = Pm-3m, No. 221

abc: 5.4565 5.4565 5.4565
angles: 90.00 90.00 90.00
Atoms (fractional coordinates):
S 0.0000 0.0000 0.0000
Zn 0.5000 0.5000 0.5000
In 0.5000 0.0000 0.0000
In 0.0000 0.5000 0.0000
In 0.0000 0.0000 0.5000

---

What is the stability order? It is 1), 2), from most stable to least stable.

---

1) Computed, not measured: a relaxed Zr2InS crystal at the PBE-GGA level of DFT.

Output
- density of states at the Fermi level (states/eV/f.u.) = 2.3
- total moment (μB/f.u.) = 0.00
- crystal system = trigonal
- SG = R3m, No. 160

abc: 3.5785 3.5785 7.8958
angles: 76.90 76.90 60.00
Atoms (fractional coordinates):
Zr 0.0637 0.0637 0.8089
Zr 0.2701 0.2701 0.1897
S 0.6669 0.6669 0.9994
In 0.4993 0.4993 0.5021

---

2) Computed, not measured: a relaxed Zr2InS crystal at the PBE-GGA level of DFT.

Output
- density of states at the Fermi level (states/eV/f.u.) = 5.7
- total moment (μB/f.u.) = 0.00
- crystal system = cubic
- SG = Fm-3m, No. 225

abc: 4.8616 4.8616 4.8616
angles: 60.00 60.00 60.00
Atoms (fractional coordinates):
Zr 0.2500 0.2500 0.2500
Zr 0.7500 0.7500 0.7500
In 0.5000 0.5000 0.5000
S 0.0000 0.0000 0.0000

---

3) Computed, not measured: a relaxed Zr2InS crystal at the PBE-GGA level of DFT.

Output
- density of states at the Fermi level (states/eV/f.u.) = 2.3
- total moment (μB/f.u.) = 0.00
- crystal system = trigonal
- SG = R-3m, No. 166

abc: 3.6225 3.6225 7.7661
angles: 76.51 76.51 60.00
Atoms (fractional coordinates):
Zr 0.2708 0.2708 0.1876
Zr 0.7292 0.7292 0.8124
S 0.0000 0.0000 0.0000
In 0.5000 0.5000 0.5000

---

What is the stability order? It is 1), 3), 2), from most stable to least stable.

---

1) Computed, not measured: a relaxed Zr4InS8 crystal at the PBE-GGA level of DFT.

Output
- density of states at the Fermi level (states/eV/f.u.) = 7.0
- total moment (μB/f.u.) = 0.00
- crystal system = cubic
- SG = F-43m, No. 216

abc: 7.5636 7.5636 7.5636
angles: 60.00 60.00 60.00
Atoms (fractional coordinates):
Zr 0.3662 0.9015 0.3662
Zr 0.3662 0.3662 0.9015
Zr 0.9015 0.3662 0.3662
Zr 0.3662 0.3662 0.3662
S 0.1276 0.6172 0.1276
S 0.6144 0.6144 0.1569
S 0.1276 0.1276 0.6172
S 0.6172 0.1276 0.1276
S 0.1276 0.1276 0.1276
S 0.6144 0.1569 0.6144
S 0.1569 0.6144 0.6144
S 0.6144 0.6144 0.6144
In 0.7500 0.7500 0.7500

---

2) Computed, not measured: a relaxed Zr4InS8 crystal at the PBE-GGA level of DFT.

Output
- density of states at the Fermi level (states/eV/f.u.) = 3.9
- total moment (μB/f.u.) = 0.00
- crystal system = trigonal
- SG = R-3m, No. 166

abc: 7.3131 7.3131 8.6775
angles: 65.08 65.08 60.00
Atoms (fractional coordinates):
Zr 0.0000 0.0000 0.0000
Zr 0.0000 0.5000 0.0000
Zr 0.5000 0.5000 0.0000
Zr 0.5000 0.0000 0.0000
In 0.5000 0.5000 0.5000
S 0.2331 0.7332 0.8006
S 0.2331 0.2331 0.8006
S 0.2683 0.2683 0.1951
S 0.7332 0.2331 0.8006
S 0.7317 0.7317 0.8049
S 0.7669 0.7669 0.1994
S 0.7669 0.2668 0.1994
S 0.2668 0.7669 0.1994

---

What is the stability order? It is 2), 1), from most stable to least stable.

---

1) Computed, not measured: a relaxed InSb3 crystal at the PBE-GGA level of DFT.

Output
- density of states at the Fermi level (states/eV/f.u.) = 1.6
- total moment (μB/f.u.) = 0.00
- crystal system = orthorhombic
- SG = Cmmm, No. 65

abc: 6.3585 6.3585 3.1483
angles: 90.00 90.00 119.30
Atoms (fractional coordinates):
Sb 0.5000 0.5000 0.0000
Sb 0.0000 0.5000 0.5000
Sb 0.5000 0.0000 0.5000
In 0.0000 0.0000 0.0000

---

2) Computed, not measured: a relaxed InSb3 crystal at the PBE-GGA level of DFT.

Output
- density of states at the Fermi level (states/eV/f.u.) = 3.1
- total moment (μB/f.u.) = 0.00
- crystal system = trigonal
- SG = R-3m, No. 166

abc: 6.2757 6.2757 6.2757
angles: 117.00 117.00 117.00
Atoms (fractional coordinates):
Sb 0.5000 0.0000 0.5000
Sb 0.5000 0.5000 0.0000
Sb 0.0000 0.5000 0.5000
In 0.0000 0.0000 0.0000

---

What is the stability order? It is 2), 1), from most stable to least stable.

---

1) Computed, not measured: a relaxed InSb3 crystal at the PBE-GGA level of DFT.

Output
- density of states at the Fermi level (states/eV/f.u.) = 1.3
- total moment (μB/f.u.) = 0.00
- crystal system = orthorhombic
- SG = Cmcm, No. 63

abc: 8.4401 8.4401 4.1227
angles: 90.00 90.00 116.87
Atoms (fractional coordinates):
Sb 0.9177 0.0823 0.7500
Sb 0.3979 0.0439 0.7500
Sb 0.0439 0.3979 0.2500
Sb 0.6021 0.9561 0.2500
Sb 0.9561 0.6021 0.7500
Sb 0.0823 0.9177 0.2500
In 0.4294 0.5706 0.2500
In 0.5706 0.4294 0.7500

---

2) Computed, not measured: a relaxed InSb3 crystal at the PBE-GGA level of DFT.

Output
- density of states at the Fermi level (states/eV/f.u.) = 2.3
- total moment (μB/f.u.) = 0.00
- crystal system = hexagonal
- SG = P-6m2, No. 187

abc: 3.4323 3.4323 10.8256
angles: 90.00 90.00 120.00
Atoms (fractional coordinates):
Sb 0.6667 0.3333 0.2577
Sb 0.0000 0.0000 0.5000
Sb 0.6667 0.3333 0.7423
In 0.0000 0.0000 0.0000

---

What is the stability order? It is 1), 2), from most stable to least stable.

---

1) Computed, not measured: a relaxed In5Sb crystal at the PBE-GGA level of DFT.

Output
- density of states at the Fermi level (states/eV/f.u.) = 4.0
- total moment (μB/f.u.) = 0.00
- crystal system = hexagonal
- SG = P6/mmm, No. 191

abc: 6.0354 6.0354 5.6979
angles: 90.00 90.00 120.00
Atoms (fractional coordinates):
In 0.0000 0.5000 0.5000
In 0.5000 0.0000 0.5000
In 0.5000 0.5000 0.5000
In 0.6667 0.3333 0.0000
In 0.3333 0.6667 0.0000
Sb 0.0000 0.0000 0.0000

---

2) Computed, not measured: a relaxed In5Sb crystal at the PBE-GGA level of DFT.

Output
- density of states at the Fermi level (states/eV/f.u.) = 2.4
- total moment (μB/f.u.) = 0.00
- crystal system = monoclinic
- SG = Cm, No. 8

abc: 6.8543 6.8543 7.9726
angles: 77.92 77.92 27.07
Atoms (fractional coordinates):
In 0.0146 0.0146 0.9817
In 0.9311 0.9311 0.6383
In 0.6029 0.6029 0.2891
In 0.6711 0.6711 0.6464
In 0.3497 0.3497 0.3124
Sb 0.2638 0.2638 0.9655

---

3) Computed, not measured: a relaxed In5Sb crystal at the PBE-GGA level of DFT.

Output
- density of states at the Fermi level (states/eV/f.u.) = 4.0
- total moment (μB/f.u.) = 0.00
- crystal system = cubic
- SG = F-43m, No. 216

abc: 6.2521 6.2521 6.2521
angles: 60.00 60.00 60.00
Atoms (fractional coordinates):
Sb 0.0000 0.0000 0.0000
In 0.2500 0.2500 0.2500
In 0.6253 0.1242 0.6253
In 0.1242 0.6253 0.6253
In 0.6253 0.6253 0.1242
In 0.6253 0.6253 0.6253

---

What is the stability order? It is 2), 3), 1), from most stable to least stable.